[1]
# Ba2MgZr

A relaxed Ba2MgZr crystal (PBE, the Alexandria database).

The space group is R-3m (No. 166, hexagonal axes) and the conventional cell measures 3.7291, 3.7291 and 36.2012 Å, with angles of 90.00, 90.00 and 120.00 degrees. The asymmetric unit holds Ba at (0.0000, 0.0000, 0.2476), Mg at (0.0000, 0.0000, 0.0000) and Zr at (0.0000, 0.0000, 0.5000).

The value obtained for the formation energy is 477 meV per atom.



[2]
# Mg12Cd3Hg

A relaxed Mg12Cd3Hg crystal (PBE, the Alexandria database).

The space group is P4/mmm (No. 123) and the conventional cell measures 4.493, 4.493 and 17.388 Å, with angles of 90.00, 90.00 and 90.00 degrees. The asymmetric unit holds Mg at (0.000, 0.000, 0.000), Mg at (0.000, 0.000, 0.248), Mg at (0.000, 0.000, 0.500), Mg at (0.000, 0.500, 0.123), Mg at (0.000, 0.500, 0.374), Cd at (0.500, 0.500, 0.249), Cd at (0.500, 0.500, 0.500) and Hg at (0.500, 0.500, 0.000).

The value obtained for the formation energy is -84 meV per atom.



[3]
# ScVBiH2

A relaxed ScVBiH2 crystal (PBE, the Alexandria database).

The space group is P4/mmm (No. 123) and the conventional cell measures 3.953, 3.953 and 5.344 Å, with angles of 90.00, 90.00 and 90.00 degrees. The asymmetric unit holds Sc at (0.000, 0.000, 0.000), V at (0.000, 0.000, 0.500), Bi at (0.500, 0.500, 0.000) and H at (0.000, 0.500, 0.500).

The total energy is -4.66 eV per atom.



[4]
# HfCdSiBr2

A relaxed HfCdSiBr2 crystal (PBE, the Alexandria database).

The space group is P4/mmm (No. 123) and the conventional cell measures 5.226, 5.226 and 5.321 Å, with angles of 90.00, 90.00 and 90.00 degrees. The asymmetric unit holds Hf at (0.000, 0.000, 0.000), Cd at (0.500, 0.500, 0.500), Si at (0.500, 0.500, 0.000) and Br at (0.000, 0.500, 0.500).

The uncorrected formation energy is 0.868 eV per atom.



[5]
# Ac12Fe3N5

A relaxed Ac12Fe3N5 crystal (PBE, the Alexandria database).

The space group is Ia-3d (No. 230) and the conventional cell measures 16.582, 16.582 and 16.582 Å, with angles of 90.00, 90.00 and 90.00 degrees. The asymmetric unit holds Ac at (0.029, 0.055, 0.652), Fe at (0.000, 0.250, 0.125), N at (0.000, 0.000, 0.000) and N at (0.000, 0.250, 0.375).

The uncorrected formation energy is -0.304 eV per atom.



[6]
# InPRu3

A relaxed InPRu3 crystal (PBE, the Alexandria database).

The space group is Pm-3m (No. 221) and the conventional cell measures 4.881, 4.881 and 4.881 Å, with angles of 90.00, 90.00 and 90.00 degrees. The asymmetric unit holds In at (0.000, 0.000, 0.000), P at (0.500, 0.500, 0.500) and Ru at (0.000, 0.000, 0.500).

As for the energy above the lowest structure with this stoichiometry: 2179 meV per atom. The value obtained for the formation energy is 2297 meV per atom.



[7]
# Na3ScTl3O8

A relaxed Na3ScTl3O8 crystal (PBE, the Alexandria database).

The space group is R-3m (No. 166, hexagonal axes) and the conventional cell measures 6.7096, 6.7096 and 16.9580 Å, with angles of 90.00, 90.00 and 120.00 degrees. The asymmetric unit holds Na at (0.0000, 0.5000, 0.0000), Sc at (0.0000, 0.0000, 0.5000), Tl at (0.0000, 0.5000, 0.5000), O at (0.0000, 0.0000, 0.2414) and O at (0.0238, 0.5119, 0.2352).

The uncorrected formation energy is -1.333 eV per atom.



[8]
# Si3HgPb

A relaxed Si3HgPb crystal (PBE, the Alexandria database).

The space group is Pm-3m (No. 221) and the conventional cell measures 5.102, 5.102 and 5.102 Å, with angles of 90.00, 90.00 and 90.00 degrees. The asymmetric unit holds Si at (0.000, 0.000, 0.500), Hg at (0.000, 0.000, 0.000) and Pb at (0.500, 0.500, 0.500).

As for the energy above the lowest structure with this stoichiometry: 0 meV per atom. The uncorrected formation energy is 1.131 eV per atom.



- Number 1 is which compound?
  Ba2MgZr



- What is the formula in the eighth record?
  Si3HgPb